[1]
A plane-wave DFT calculation with PBE was carried out for a relaxed structure of NbReTc.

Summary:
Energy above the lowest structure with this stoichiometry ... 0 meV/atom
Total magnetization ... 0.00 μB per cell
Calculated formation energy ... 533 meV per atom

Unit cell a=4.2911 b=4.2911 c=4.2911 alpha=60.00 beta=60.00 gamma=60.00
Closest atoms and distances in Å follow each position.
Fractional coordinates of all 3 atoms:
Nb 0.2500 0.2500 0.2500  4 Re 2.63
Re 0.0000 0.0000 0.0000  4 Nb 2.63, 4 Tc 2.63
Tc 0.7500 0.7500 0.7500  4 Re 2.63

[2]
A plane-wave DFT calculation with PBE was carried out for a relaxed structure of KScNiSe3.

Summary:
VASP energy ... -4.892 eV/atom
Total magnetization ... 0.03 μB per cell

Unit cell a=8.2915 b=8.2915 c=8.6554 alpha=100.47 beta=100.47 gamma=28.12
Closest atoms and distances in Å follow each position.
Fractional coordinates of all 12 atoms:
K 0.8504 0.8504 0.4292  7 Se 3.11-3.29
K 0.1496 0.1496 0.5708  7 Se 3.11-3.29
Ni 0.4975 0.4975 0.1988  5 Se 2.38-2.65
Ni 0.5025 0.5025 0.8012  5 Se 2.38-2.65
Sc 0.1668 0.1668 0.0803  6 Se 2.64-2.75
Sc 0.8332 0.8332 0.9197  6 Se 2.64-2.75
Se 0.0000 0.0000 0.0000  2 Sc 2.64, 4 Ni 2.65
Se 0.3388 0.3388 0.1372  1 Ni 2.51, 3 Sc 2.72-2.75
Se 0.6472 0.6472 0.2771  1 Ni 2.38
Se 0.5000 0.5000 0.5000  2 Ni 2.60
Se 0.3528 0.3528 0.7229  1 Ni 2.38
Se 0.6612 0.6612 0.8628  1 Ni 2.51, 3 Sc 2.72-2.75

[3]
A plane-wave DFT calculation with PBE was carried out for a relaxed structure of CsPaPt.

Summary:
Energy above the lowest structure with this stoichiometry ... 0 meV/atom
Total magnetization ... 1.92 μB per cell

Unit cell a=5.1399 b=5.1399 c=5.1399 alpha=60.00 beta=60.00 gamma=60.00
Closest atoms and distances in Å follow each position.
Fractional coordinates of all 3 atoms:
Cs 0.2500 0.2500 0.2500  4 Pt 3.15
Pa 0.7500 0.7500 0.7500  4 Pt 3.15
Pt 0.0000 0.0000 0.0000  4 Pa 3.15, 4 Cs 3.15

The highest total magnetization belongs to which entry?
CsPaPt

Which of these has the lowest total magnetization?
NbReTc

Which of these has the lowest total magnetization?
NbReTc